Entry 1:
The following is a DFT calculation (PBE) of crystalline BaNbOs2 at its relaxed geometry.

abc: 7.6208 7.6208 6.2221
angles: 90.00 90.00 90.00
Fractional coordinates of all 16 atoms:
1 Ba 0.0000 0.0000 0.0000
2 Ba 0.0000 0.5000 0.2500
3 Ba 0.5000 0.0000 0.7500
4 Ba 0.5000 0.5000 0.5000
5 Nb 0.0000 0.0000 0.5000
6 Nb 0.0000 0.5000 0.7500
7 Nb 0.5000 0.0000 0.2500
8 Nb 0.5000 0.5000 0.0000
9 Os 0.1972 0.7500 0.6250
10 Os 0.2500 0.1972 0.3750
11 Os 0.2500 0.3028 0.8750
12 Os 0.3028 0.7500 0.1250
13 Os 0.6972 0.2500 0.1250
14 Os 0.7500 0.6972 0.8750
15 Os 0.7500 0.8028 0.3750
16 Os 0.8028 0.2500 0.6250

relative energy among the computed polymorphs	0.09	eV per formula unit
crystal system	tetragonal
E_form	1106	meV/atom



Entry 2:
The following is a DFT calculation (PBE) of crystalline Th2NiSn at its relaxed geometry.

abc: 3.6794 3.6794 30.3612
angles: 90.00 90.00 120.00
Fractional coordinates of all 12 atoms:
1 Th 0.0000 0.0000 0.1073
2 Th 0.0000 0.0000 0.8927
3 Th 0.3333 0.6667 0.5594
4 Th 0.3333 0.6667 0.7740
5 Th 0.6667 0.3333 0.2260
6 Th 0.6667 0.3333 0.4406
7 Ni 0.0000 0.0000 0.5000
8 Ni 0.3333 0.6667 0.1667
9 Ni 0.6667 0.3333 0.8333
10 Sn 0.0000 0.0000 0.0000
11 Sn 0.3333 0.6667 0.6667
12 Sn 0.6667 0.3333 0.3333

relative energy among the computed polymorphs	2.03	eV per formula unit
crystal system	trigonal
E_form	38	meV/atom



Entry 3:
The following is a DFT calculation (PBE) of crystalline Be2CrPd2 at its relaxed geometry.

abc: 6.5701 6.5701 2.6981
angles: 90.00 90.00 90.00
Fractional coordinates of all 10 atoms:
1 Be 0.1260 0.3740 0.0000
2 Be 0.3740 0.8740 0.0000
3 Be 0.6260 0.1260 0.0000
4 Be 0.8740 0.6260 0.0000
5 Cr 0.0000 0.0000 0.0000
6 Cr 0.5000 0.5000 0.0000
7 Pd 0.1707 0.6707 0.5000
8 Pd 0.3293 0.1707 0.5000
9 Pd 0.6707 0.8293 0.5000
10 Pd 0.8293 0.3293 0.5000

relative energy among the computed polymorphs	0.00	eV per formula unit
crystal system	tetragonal
E_form	-164	meV/atom



Entry 4:
The following is a DFT calculation (PBE) of crystalline Sm8Tl2Rh at its relaxed geometry.

abc: 9.3032 9.3032 9.3032
angles: 144.70 135.26 58.23
Fractional coordinates of all 11 atoms:
1 Sm 0.1382 0.3751 0.7631
2 Sm 0.1941 0.1941 0.0000
3 Sm 0.2443 0.0000 0.2443
4 Sm 0.3880 0.6249 0.7631
5 Sm 0.6120 0.3751 0.2369
6 Sm 0.7557 0.0000 0.7557
7 Sm 0.8059 0.8059 0.0000
8 Sm 0.8618 0.6249 0.2369
9 Tl 0.3144 0.8144 0.5000
10 Tl 0.6856 0.1856 0.5000
11 Rh 0.0000 0.5000 0.5000

relative energy among the computed polymorphs	0.17	eV per formula unit
crystal system	orthorhombic
E_form	-247	meV/atom



Entry 5:
The following is a DFT calculation (PBE) of crystalline Tb6NdSm3Dy2 at its relaxed geometry.

abc: 6.2065 6.2065 11.8749
angles: 94.98 94.98 119.96
Fractional coordinates of all 12 atoms:
1 Tb 0.0825 0.4165 0.7509
2 Tb 0.2494 0.2494 0.2490
3 Tb 0.4165 0.0825 0.7509
4 Tb 0.5835 0.9175 0.2491
5 Tb 0.7506 0.7506 0.7510
6 Tb 0.9175 0.5835 0.2491
7 Nd 0.5000 0.5000 0.0000
8 Sm 0.0000 0.0000 0.5000
9 Sm 0.3331 0.6669 0.5000
10 Sm 0.6669 0.3331 0.5000
11 Dy 0.1667 0.8333 0.0000
12 Dy 0.8333 0.1667 0.0000

crystal system	monoclinic
E_form	14	meV/atom



Entry 6:
The following is a DFT calculation (PBE) of crystalline Re2PdBrF at its relaxed geometry.

abc: 4.6634 4.6634 4.7885
angles: 90.00 90.00 90.00
Fractional coordinates of all 5 atoms:
1 Re 0.0000 0.5000 0.0000
2 Re 0.5000 0.0000 0.0000
3 Pd 0.0000 0.0000 0.5000
4 Br 0.0000 0.0000 0.0000
5 F 0.5000 0.5000 0.5000

DFT total energy	-4.705	eV per atom
crystal system	tetragonal